Entry 1:
{"formula": "PaPdO2", "functional": "PBE", "state": "optimized geometry", "lattice_angstrom": [[1.892, 1.093, 5.494], [-1.892, 1.093, 5.494], [0.000, -2.185, 5.494]], "species": ["Pa", "Pd", "O", "O"], "frac_coords": [[0.000, 0.000, 0.000], [0.500, 0.500, 0.500], [0.376, 0.376, 0.376], [0.624, 0.624, 0.624]], "energy_ev_per_atom": -8.3332, "spacegroup": "No. 166"}

Entry 2:
{"formula": "Pa2PdO8", "functional": "PBE", "state": "optimized geometry", "lattice_angstrom": [[4.395, 0.000, 0.000], [1.168, 5.389, 0.000], [2.058, 0.142, 6.775]], "species": ["Pa", "Pa", "Pd", "O", "O", "O", "O", "O", "O", "O", "O"], "frac_coords": [[0.145, 0.006, 0.225], [0.855, 0.994, 0.775], [0.000, 0.500, 0.500], [0.105, 0.628, 0.726], [0.220, 0.140, 0.504], [0.300, 0.995, 0.896], [0.332, 0.637, 0.283], [0.668, 0.363, 0.717], [0.700, 0.005, 0.104], [0.780, 0.860, 0.496], [0.895, 0.372, 0.274]], "energy_ev_per_atom": -7.8649, "spacegroup": "No. 2"}

Entry 3:
{"formula": "Pa2PdO6", "functional": "PBE", "state": "optimized geometry", "lattice_angstrom": [[6.166, 0.000, 0.000], [0.000, 6.135, 0.000], [-0.008, 0.000, 8.931]], "species": ["Pa", "Pa", "Pa", "Pa", "Pd", "Pd", "O", "O", "O", "O", "O", "O", "O", "O", "O", "O", "O", "O"], "frac_coords": [[0.236, 0.250, 0.250], [0.236, 0.250, 0.750], [0.764, 0.750, 0.250], [0.764, 0.750, 0.750], [0.500, 0.000, 0.000], [0.500, 0.500, 0.500], [0.001, 0.501, 0.761], [0.001, 0.999, 0.261], [0.267, 0.238, 0.000], [0.267, 0.262, 0.500], [0.499, 0.501, 0.272], [0.499, 0.999, 0.772], [0.501, 0.001, 0.228], [0.501, 0.499, 0.728], [0.733, 0.738, 0.500], [0.733, 0.762, 0.000], [0.999, 0.001, 0.739], [0.999, 0.499, 0.239]], "energy_ev_per_atom": -8.8629, "spacegroup": "No. 14"}

Entry 4:
{"formula": "Pm2PaPdO8", "functional": "PBE", "state": "optimized geometry", "lattice_angstrom": [[4.089, 0.000, 0.000], [0.000, 7.354, 0.000], [-0.569, 0.000, 5.393]], "species": ["Pm", "Pm", "Pa", "Pd", "O", "O", "O", "O", "O", "O", "O", "O"], "frac_coords": [[0.000, 0.242, 0.000], [0.000, 0.758, 0.000], [0.500, 0.500, 0.500], [0.500, 0.000, 0.500], [0.044, 0.500, 0.263], [0.091, 0.000, 0.278], [0.449, 0.239, 0.729], [0.449, 0.761, 0.729], [0.551, 0.239, 0.271], [0.551, 0.761, 0.271], [0.909, 0.000, 0.722], [0.956, 0.500, 0.737]], "energy_ev_per_atom": -7.7474, "spacegroup": "No. 10"}

Entry 5:
{"formula": "PaPdPt2O8", "functional": "PBE", "state": "optimized geometry", "lattice_angstrom": [[-3.369, 3.369, 3.600], [3.369, -3.369, 3.600], [3.369, 3.369, -3.600]], "species": ["Pa", "Pd", "Pt", "Pt", "O", "O", "O", "O", "O", "O", "O", "O"], "frac_coords": [[0.000, 0.000, 0.000], [0.750, 0.250, 0.500], [0.250, 0.750, 0.500], [0.500, 0.500, 0.000], [0.045, 0.367, 0.322], [0.045, 0.723, 0.678], [0.097, 0.280, 0.817], [0.277, 0.955, 0.322], [0.463, 0.280, 0.183], [0.633, 0.955, 0.678], [0.720, 0.537, 0.817], [0.720, 0.903, 0.183]], "energy_ev_per_atom": -6.4390, "spacegroup": "No. 119"}

Entry 6:
{"formula": "PuPaPdO6", "functional": "PBE", "state": "optimized geometry", "lattice_angstrom": [[5.862, 0.000, 0.000], [-2.931, 5.076, 0.000], [0.000, 0.000, 8.965]], "species": ["Pu", "Pu", "Pa", "Pa", "Pd", "Pd", "O", "O", "O", "O", "O", "O", "O", "O", "O", "O", "O", "O"], "frac_coords": [[0.333, 0.667, 0.250], [0.667, 0.333, 0.750], [0.333, 0.667, 0.750], [0.667, 0.333, 0.250], [0.000, 0.000, 0.000], [0.000, 0.000, 0.500], [0.010, 0.360, 0.136], [0.010, 0.650, 0.364], [0.350, 0.360, 0.364], [0.350, 0.990, 0.136], [0.360, 0.010, 0.636], [0.360, 0.350, 0.864], [0.640, 0.650, 0.136], [0.640, 0.990, 0.364], [0.650, 0.010, 0.864], [0.650, 0.640, 0.636], [0.990, 0.350, 0.636], [0.990, 0.640, 0.864]], "energy_ev_per_atom": -8.8122, "spacegroup": "No. 163"}

Entry 7:
{"formula": "RbPaPdO6", "functional": "PBE", "state": "optimized geometry", "lattice_angstrom": [[5.732, 0.000, 0.000], [-2.866, 4.964, 0.000], [0.000, 0.000, 4.817]], "species": ["Rb", "Pa", "Pd", "O", "O", "O", "O", "O", "O"], "frac_coords": [[0.000, 0.000, 0.000], [0.667, 0.333, 0.500], [0.333, 0.667, 0.000], [0.017, 0.423, 0.251], [0.017, 0.594, 0.749], [0.406, 0.423, 0.749], [0.406, 0.983, 0.251], [0.577, 0.594, 0.251], [0.577, 0.983, 0.749]], "energy_ev_per_atom": -6.4466, "spacegroup": "No. 149"}

Entry 8:
{"formula": "RbPaPdO4", "functional": "PBE", "state": "optimized geometry", "lattice_angstrom": [[-3.038, 3.474, 5.982], [3.038, -3.474, 5.982], [3.038, 3.474, -5.982]], "species": ["Rb", "Rb", "Pa", "Pa", "Pd", "Pd", "O", "O", "O", "O", "O", "O", "O", "O"], "frac_coords": [[0.433, 0.183, 0.250], [0.567, 0.817, 0.750], [0.000, 0.500, 0.500], [0.500, 0.500, 0.000], [0.000, 0.000, 0.500], [0.000, 0.500, 0.000], [0.121, 0.688, 0.433], [0.245, 0.312, 0.933], [0.272, 0.313, 0.541], [0.272, 0.731, 0.959], [0.728, 0.269, 0.041], [0.728, 0.687, 0.459], [0.755, 0.688, 0.067], [0.879, 0.312, 0.567]], "energy_ev_per_atom": -7.2313, "spacegroup": "No. 74"}